--- i ---
VASP calculation (PBE) on a relaxed structure of CoAgB4.

- symmetry = No. 191
- M_tot (μB/cell) = 0.38
- theoretical density (kg/m³) = 6229

a = 2.9887 Å, b = 2.9887 Å, c = 7.2381 Å
α = 90.00°, β = 90.00°, γ = 120.00°
With the nearest neighbours (Å) after each atom.
Positions (direct):
Ag1 0.0000 0.0000 0.5000  12 B 2.81, 6 Ag 2.99
Co1 0.0000 0.0000 0.0000  12 B 2.22
B1 0.3333 0.6667 0.1937  3 B 1.73
B2 0.3333 0.6667 0.8063  3 B 1.73
B3 0.6667 0.3333 0.1937  3 B 1.73
B4 0.6667 0.3333 0.8063  3 B 1.73

---

--- ii ---
VASP calculation (PBE) on a relaxed structure of CoAgB4.

- symmetry = No. 71
- M_tot (μB/cell) = 2.02
- theoretical density (kg/m³) = 6304

a = 4.6570 Å, b = 4.6570 Å, c = 4.6570 Å
α = 142.82°, β = 111.33°, γ = 80.76°
With the nearest neighbours (Å) after each atom.
Positions (direct):
B1 0.4269 0.7634 0.6635  3 B 1.72-1.75
B2 0.0998 0.7634 0.3365  3 B 1.72-1.75
B3 0.9002 0.2366 0.6635  3 B 1.72-1.75
B4 0.5731 0.2366 0.3365  3 B 1.72-1.75
Ag1 0.0000 0.0000 0.0000  12 B 2.44-2.54
Co1 0.5000 0.5000 0.0000  12 B 2.40-2.57

---

Relative stability in meV per atom, measured from the most stable structure: i 0; ii 184

---

--- i ---
VASP calculation (PBE) on a relaxed structure of HfCoAgB.

- symmetry = No. 216
- M_tot (μB/cell) = 0.03
- theoretical density (kg/m³) = 10686

a = 4.2773 Å, b = 4.2773 Å, c = 4.2773 Å
α = 60.00°, β = 60.00°, γ = 60.00°
With the nearest neighbours (Å) after each atom.
Positions (direct):
Ag1 0.2500 0.2500 0.2500  4 Hf 2.62, 4 B 2.62
Hf1 0.5000 0.5000 0.5000  4 Co 2.62, 4 Ag 2.62
Co1 0.7500 0.7500 0.7500  4 Hf 2.62, 4 B 2.62
B1 0.0000 0.0000 0.0000  4 Co 2.62, 4 Ag 2.62

---

--- ii ---
VASP calculation (PBE) on a relaxed structure of HfCoAgB.

- symmetry = No. 216
- M_tot (μB/cell) = 0.03
- theoretical density (kg/m³) = 10714

a = 4.2737 Å, b = 4.2737 Å, c = 4.2737 Å
α = 60.00°, β = 60.00°, γ = 60.00°
With the nearest neighbours (Å) after each atom.
Positions (direct):
Co1 0.7500 0.7500 0.7500  4 B 2.62, 4 Ag 2.62
Ag1 0.5000 0.5000 0.5000  4 Hf 2.62, 4 Co 2.62
B1 0.0000 0.0000 0.0000  4 Co 2.62, 4 Hf 2.62
Hf1 0.2500 0.2500 0.2500  4 Ag 2.62, 4 B 2.62

---

Relative stability in meV per atom, measured from the most stable structure: i 118; ii 0